## one
Material: BePbW2
Method: DFT, PBE
State: relaxed

Lattice parameters (Å, degrees): 2.9067 4.4103 5.4198 90.00 97.07 90.00
With the nearest neighbours (Å) after each atom.
Element x y z (fractional)
1 Be 0.0000 0.0000 0.0000  4 W 2.66, 2 Be 2.91, 2 Pb 2.91
2 Pb 0.5000 0.0000 0.5000  4 W 2.82, 2 Pb 2.91, 2 Be 2.91
3 W 0.2798 0.5000 0.7890  1 W 2.48, 2 Be 2.66
4 W 0.7202 0.5000 0.2110  1 W 2.48, 2 Be 2.66

Results
size of the total moment	0.00	Bohr magnetons per cell
symmetry	No. 10



## two
Material: BePbW2
Method: DFT, PBE
State: relaxed

Lattice parameters (Å, degrees): 4.8205 4.8205 4.8323 97.61 97.61 39.09
With the nearest neighbours (Å) after each atom.
Element x y z (fractional)
1 Be 0.0000 0.0000 0.0000  6 W 2.60-2.83, 4 Pb 2.90
2 Pb 0.5000 0.5000 0.5000  6 W 2.86-3.00, 4 Be 2.90
3 W 0.2509 0.2509 0.8010  2 W 2.51, 1 Be 2.60
4 W 0.7491 0.7491 0.1990  2 W 2.51, 1 Be 2.60

Results
size of the total moment	0.00	Bohr magnetons per cell
symmetry	No. 12



Last place for stability: one



## one
Material: BePbW2
Method: DFT, PBE
State: relaxed

Lattice parameters (Å, degrees): 5.1136 5.1136 5.1136 142.98 125.51 67.71
With the nearest neighbours (Å) after each atom.
Element x y z (fractional)
1 Be 0.0000 0.0000 0.0000  4 W 2.41
2 Pb 0.5000 0.5000 0.0000  4 Be 2.85, 8 W 2.94-2.95
3 W 0.2097 0.7097 0.5000  2 Be 2.41
4 W 0.7903 0.2903 0.5000  2 Be 2.41

Results
size of the total moment	0.00	Bohr magnetons per cell
symmetry	No. 71



## two
Material: BePbW2
Method: DFT, PBE
State: relaxed

Lattice parameters (Å, degrees): 3.0878 3.0878 7.1353 90.00 90.00 90.00
With the nearest neighbours (Å) after each atom.
Element x y z (fractional)
1 Be 0.0000 0.0000 0.0000  8 W 2.50
2 Pb 0.0000 0.0000 0.5000  4 Pb 3.09, 8 W 3.21
3 W 0.5000 0.5000 0.1704  1 W 2.43, 4 Be 2.50
4 W 0.5000 0.5000 0.8296  1 W 2.43, 4 Be 2.50

Results
size of the total moment	0.00	Bohr magnetons per cell
symmetry	No. 123



## three
Material: BePbW2
Method: DFT, PBE
State: relaxed

Lattice parameters (Å, degrees): 3.2600 4.5212 4.5274 90.00 90.00 90.00
With the nearest neighbours (Å) after each atom.
Element x y z (fractional)
1 Be 0.0000 0.0000 0.0000  4 Pb 2.79, 4 W 2.79
2 Pb 0.5000 0.5000 0.0000  4 Be 2.79, 4 W 2.79
3 W 0.0000 0.5000 0.5000  4 W 2.79, 4 Pb 2.79
4 W 0.5000 0.0000 0.5000  4 W 2.79, 4 Be 2.79

Results
size of the total moment	0.00	Bohr magnetons per cell
symmetry	No. 47



Last place for stability: three



## one
Material: BePbW2
Method: DFT, PBE
State: relaxed

Lattice parameters (Å, degrees): 4.4191 4.4191 5.9249 97.35 97.35 41.23
With the nearest neighbours (Å) after each atom.
Element x y z (fractional)
1 Be 0.0000 0.0000 0.0000  5 W 2.46-2.51
2 Pb 0.2276 0.2276 0.6674  3 Be 2.91-3.19, 5 W 3.06-3.20, 2 Pb 3.11
3 W 0.4661 0.4661 0.3158  2 Be 2.48, 3 W 2.57-2.61
4 W 0.7310 0.7310 0.1331  3 Be 2.46-2.51, 3 W 2.57-2.61

Results
size of the total moment	0.00	Bohr magnetons per cell
symmetry	No. 8



## two
Material: BePbW2
Method: DFT, PBE
State: relaxed

Lattice parameters (Å, degrees): 4.8182 4.8182 4.8182 128.70 128.70 75.49
With the nearest neighbours (Å) after each atom.
Element x y z (fractional)
1 Be 0.0000 0.0000 0.0000  8 W 2.82-2.95, 4 Pb 2.82
2 Pb 0.2500 0.7500 0.5000  8 W 2.82-2.95, 4 Be 2.82
3 W 0.5000 0.5000 0.0000  4 W 2.82, 4 Pb 2.82, 4 Be 2.95
4 W 0.7500 0.2500 0.5000  4 Be 2.82, 4 W 2.82, 4 Pb 2.95

Results
size of the total moment	0.00	Bohr magnetons per cell
symmetry	No. 119



Last place for stability: two



## one
Material: BePbW2
Method: DFT, PBE
State: relaxed

Lattice parameters (Å, degrees): 4.5438 4.5438 4.5438 60.00 60.00 60.00
With the nearest neighbours (Å) after each atom.
Element x y z (fractional)
1 Be 0.0000 0.0000 0.0000  4 Pb 2.78, 4 W 2.78
2 Pb 0.7500 0.7500 0.7500  4 W 2.78, 4 Be 2.78
3 W 0.2500 0.2500 0.2500  4 W 2.78, 4 Be 2.78
4 W 0.5000 0.5000 0.5000  4 W 2.78, 4 Pb 2.78

Results
size of the total moment	0.00	Bohr magnetons per cell
symmetry	No. 216



## two
Material: BePbW2
Method: DFT, PBE
State: relaxed

Lattice parameters (Å, degrees): 10.1646 10.1646 10.1646 158.20 158.20 31.02
With the nearest neighbours (Å) after each atom.
Element x y z (fractional)
1 Be 0.0000 0.0000 0.0000  4 Pb 2.72, 4 W 2.76
2 Be 0.7500 0.2500 0.5000  4 Pb 2.72, 4 W 2.76
3 Pb 0.2500 0.7500 0.5000  4 Be 2.72, 4 W 2.85
4 Pb 0.5000 0.5000 0.0000  4 Be 2.72, 4 W 2.85
5 W 0.0897 0.6250 0.9647  2 W 2.53, 2 Be 2.76
6 W 0.3750 0.3397 0.4647  2 W 2.53, 2 Be 2.76
7 W 0.6603 0.1250 0.0353  2 W 2.53, 2 Be 2.76
8 W 0.8750 0.9103 0.5353  2 W 2.53, 2 Be 2.76

Results
size of the total moment	0.00	Bohr magnetons per cell
symmetry	No. 122



## three
Material: BePbW2
Method: DFT, PBE
State: relaxed

Lattice parameters (Å, degrees): 5.2446 5.2446 5.2446 136.78 136.78 62.77
With the nearest neighbours (Å) after each atom.
Element x y z (fractional)
1 Be 0.0000 0.0000 0.0000  4 Pb 2.73, 8 W 2.96
2 Pb 0.5000 0.5000 0.0000  4 Be 2.73, 8 W 2.96
3 W 0.2500 0.7500 0.5000  4 W 2.73, 4 Pb 2.96, 4 Be 2.96
4 W 0.7500 0.2500 0.5000  4 W 2.73, 4 Pb 2.96, 4 Be 2.96

Results
size of the total moment	0.00	Bohr magnetons per cell
symmetry	No. 139



## four
Material: BePbW2
Method: DFT, PBE
State: relaxed

Lattice parameters (Å, degrees): 4.5227 4.5227 4.5227 60.00 60.00 60.00
With the nearest neighbours (Å) after each atom.
Element x y z (fractional)
1 Be 0.0000 0.0000 0.0000  8 W 2.77
2 Pb 0.5000 0.5000 0.5000  8 W 2.77
3 W 0.2500 0.2500 0.2500  4 Pb 2.77, 4 Be 2.77
4 W 0.7500 0.7500 0.7500  4 Pb 2.77, 4 Be 2.77

Results
size of the total moment	0.00	Bohr magnetons per cell
symmetry	No. 225



Last place for stability: four



## one
Material: BePbW3
Method: DFT, PBE
State: relaxed

Lattice parameters (Å, degrees): 4.3594 4.3594 4.3594 90.00 90.00 90.00
With the nearest neighbours (Å) after each atom.
Element x y z (fractional)
1 Be 0.0000 0.0000 0.0000  6 W 2.18
2 Pb 0.5000 0.5000 0.5000  12 W 3.08
3 W 0.0000 0.0000 0.5000  2 Be 2.18
4 W 0.0000 0.5000 0.0000  2 Be 2.18
5 W 0.5000 0.0000 0.0000  2 Be 2.18

Results
size of the total moment	0.00	Bohr magnetons per cell
symmetry	No. 221



## two
Material: BePbW3
Method: DFT, PBE
State: relaxed

Lattice parameters (Å, degrees): 4.9787 4.9787 4.9787 90.00 90.00 90.00
With the nearest neighbours (Å) after each atom.
Element x y z (fractional)
1 Be 0.0000 0.0000 0.0000  12 W 3.52
2 Pb 0.5000 0.5000 0.5000  6 W 2.49
3 W 0.0000 0.5000 0.5000  2 Pb 2.49
4 W 0.5000 0.0000 0.5000  2 Pb 2.49
5 W 0.5000 0.5000 0.0000  2 Pb 2.49

Results
size of the total moment	0.00	Bohr magnetons per cell
symmetry	No. 221



Last place for stability: two



## one
Material: BePbW
Method: DFT, PBE
State: relaxed

Lattice parameters (Å, degrees): 7.3896 7.3896 7.3896 157.26 157.26 32.38
With the nearest neighbours (Å) after each atom.
Element x y z (fractional)
1 Be 0.0000 0.0000 0.0000  4 W 2.50
2 Pb 0.2709 0.2709 0.0000  4 Pb 2.91, 4 W 3.19
3 W 0.5992 0.5992 0.0000  4 Be 2.50

Results
size of the total moment	0.00	Bohr magnetons per cell
symmetry	No. 107



## two
Material: BePbW
Method: DFT, PBE
State: relaxed

Lattice parameters (Å, degrees): 5.4485 5.4485 5.4485 145.15 145.15 50.11
With the nearest neighbours (Å) after each atom.
Element x y z (fractional)
1 Be 0.0000 0.0000 0.0000  4 W 2.41
2 Pb 0.7257 0.7257 0.0000  1 Be 2.71, 1 W 2.91
3 W 0.4307 0.4307 0.0000  4 Be 2.41

Results
size of the total moment	0.00	Bohr magnetons per cell
symmetry	No. 107



## three
Material: BePbW
Method: DFT, PBE
State: relaxed

Lattice parameters (Å, degrees): 3.0238 3.0238 6.8541 90.00 90.00 120.00
With the nearest neighbours (Å) after each atom.
Element x y z (fractional)
1 Be 0.0000 0.0000 0.0000  3 W 2.51
2 Pb 0.6667 0.3333 0.3600  3 Be 3.02, 6 Pb 3.02, 3 W 3.12
3 W 0.3333 0.6667 0.7372  3 Be 2.51

Results
size of the total moment	0.00	Bohr magnetons per cell
symmetry	No. 156



Last place for stability: three



## one
Material: BePbW
Method: DFT, PBE
State: relaxed

Lattice parameters (Å, degrees): 4.1339 4.1339 3.5441 90.00 90.00 120.00
With the nearest neighbours (Å) after each atom.
Element x y z (fractional)
1 Be 0.0000 0.0000 0.0000  3 W 2.39
2 Pb 0.6667 0.3333 0.4968  6 Be 2.97-2.98, 6 W 2.97
3 W 0.3333 0.6667 0.9966  3 Be 2.39

Results
size of the total moment	0.00	Bohr magnetons per cell
symmetry	No. 156



## two
Material: BePbW
Method: DFT, PBE
State: relaxed

Lattice parameters (Å, degrees): 4.2318 4.2318 4.2318 60.00 60.00 60.00
With the nearest neighbours (Å) after each atom.
Element x y z (fractional)
1 Be 0.0000 0.0000 0.0000  4 Pb 2.59, 4 W 2.59
2 Pb 0.7500 0.7500 0.7500  4 Be 2.59
3 W 0.2500 0.2500 0.2500  4 Be 2.59

Results
size of the total moment	1.73	Bohr magnetons per cell
symmetry	No. 216



Last place for stability: two



## one
Material: YBe3Pb
Method: DFT, PBE
State: relaxed

Lattice parameters (Å, degrees): 4.6903 4.6903 4.6903 90.00 90.00 90.00
With the nearest neighbours (Å) after each atom.
Element x y z (fractional)
1 Y 0.0000 0.0000 0.0000  12 Be 3.32
2 Be 0.0000 0.5000 0.5000  2 Pb 2.35
3 Be 0.5000 0.0000 0.5000  2 Pb 2.35
4 Be 0.5000 0.5000 0.0000  2 Pb 2.35
5 Pb 0.5000 0.5000 0.5000  6 Be 2.35

Results
size of the total moment	0.00	Bohr magnetons per cell
symmetry	No. 221



## two
Material: YBe3Pb
Method: DFT, PBE
State: relaxed

Lattice parameters (Å, degrees): 5.0573 5.0573 5.0573 90.00 90.00 90.00
With the nearest neighbours (Å) after each atom.
Element x y z (fractional)
1 Y 0.0000 0.0000 0.0000  6 Be 2.53
2 Be 0.0000 0.0000 0.5000  2 Y 2.53
3 Be 0.0000 0.5000 0.0000  2 Y 2.53
4 Be 0.5000 0.0000 0.0000  2 Y 2.53
5 Pb 0.5000 0.5000 0.5000  12 Be 3.58

Results
size of the total moment	0.30	Bohr magnetons per cell
symmetry	No. 221



Last place for stability: two